# TlWO4

An optimized crystal structure of TlWO4 (PBE with a Hubbard U, Alexandria).

Results
space-group type	No. 14
uncorrected energy	-6.36	eV/atom

Cell lengths 5.168, 5.618, 6.265 Å; angles 106.54, 90.00, 90.00 degrees
Sites, in units of the cell vectors:
O 0.620 0.592 0.302
O 0.380 0.408 0.698
O 0.779 0.704 0.920
O 0.721 0.204 0.920
O 0.120 0.908 0.698
O 0.880 0.092 0.302
O 0.221 0.296 0.080
O 0.279 0.796 0.080
Tl 0.500 0.000 0.500
Tl 0.000 0.500 0.500
W 0.500 0.500 0.000
W 0.000 0.000 0.000